# 1
First-principles (PBE) data for TcBr4 after structural relaxation, as listed in OQMD via LeMat-Bulk.

Unit cell a=7.1984 b=7.1984 c=8.7108 alpha=124.78 beta=124.78 gamma=56.38
Last column: nearest neighbours and their distance in Å.
Positions (direct):
Tc 0.2052 0.7948 0.0000  6 Br 2.46-2.63
Tc 0.7948 0.2052 0.0000  6 Br 2.46-2.63
Br 0.2096 0.7479 0.6997  1 Tc 2.46
Br 0.2123 0.2123 0.1805  2 Tc 2.49
Br 0.2521 0.7904 0.3003  1 Tc 2.46
Br 0.3251 0.3251 0.8506  2 Tc 2.63
Br 0.6749 0.6749 0.1494  2 Tc 2.63
Br 0.7479 0.2096 0.6997  1 Tc 2.46
Br 0.7877 0.7877 0.8195  2 Tc 2.49
Br 0.7904 0.2521 0.3003  1 Tc 2.46

Calculated values
Offset from the most stable computed form = 35 meV per atom
E = -37.36 eV for the cell shown
Crystal system = monoclinic

=====

# 2
First-principles (PBE) data for TcBr4 after structural relaxation, as listed in OQMD via LeMat-Bulk.

Unit cell a=7.4248 b=7.4248 c=6.4438 alpha=90.51 beta=90.51 gamma=62.43
Last column: nearest neighbours and their distance in Å.
Positions (direct):
Tc 0.1383 0.8617 0.7500  6 Br 2.42-2.65
Tc 0.8617 0.1383 0.2500  6 Br 2.42-2.65
Br 0.0005 0.7746 0.0743  2 Tc 2.55-2.65
Br 0.2254 0.9995 0.4257  2 Tc 2.55-2.65
Br 0.2315 0.5283 0.6059  1 Tc 2.42
Br 0.4717 0.7685 0.8941  1 Tc 2.42
Br 0.5283 0.2315 0.1059  1 Tc 2.42
Br 0.7685 0.4717 0.3941  1 Tc 2.42
Br 0.7746 0.0005 0.5743  2 Tc 2.55-2.65
Br 0.9995 0.2254 0.9257  2 Tc 2.55-2.65

Calculated values
Offset from the most stable computed form = 1 meV per atom
E = -37.69 eV for the cell shown
Crystal system = monoclinic

=====

# 3
First-principles (PBE) data for TlTcBr after structural relaxation, as listed in OQMD via LeMat-Bulk.

Unit cell a=4.7496 b=4.7496 c=11.1297 alpha=90.00 beta=90.00 gamma=120.00
Last column: nearest neighbours and their distance in Å.
Positions (direct):
Tl 0.0000 0.0000 0.0000  6 Br 3.22-3.29, 3 Tc 3.37
Tl 0.0000 0.0000 0.3296  3 Tc 3.23, 6 Br 3.24-3.31
Tl 0.0000 0.0000 0.6664  6 Tc 2.94-2.96
Tc 0.3333 0.6667 0.1767  3 Br 2.75
Tc 0.6667 0.3333 0.5703  1 Tc 2.18
Tc 0.6667 0.3333 0.7660  1 Tc 2.18
Br 0.3333 0.6667 0.4845  3 Tc 2.90, 3 Tl 3.24
Br 0.3333 0.6667 0.8479  3 Tc 2.89, 3 Tl 3.22
Br 0.6667 0.3333 0.1632  3 Tc 2.75

Calculated values
E = -37.51 eV for the cell shown
Crystal system = trigonal

=====

# 4
First-principles (PBE) data for Tl2TcBr6 after structural relaxation, as listed in OQMD via LeMat-Bulk.

Unit cell a=7.3860 b=7.3860 c=7.3860 alpha=60.00 beta=60.00 gamma=60.00
Last column: nearest neighbours and their distance in Å.
Positions (direct):
Tl 0.2500 0.2500 0.2500  12 Br 3.69
Tl 0.7500 0.7500 0.7500  12 Br 3.69
Tc 0.0000 0.0000 0.0000  6 Br 2.53
Br 0.2417 0.2417 0.7583  1 Tc 2.53
Br 0.2417 0.7583 0.2417  1 Tc 2.53
Br 0.2417 0.7583 0.7583  1 Tc 2.53
Br 0.7583 0.2417 0.2417  1 Tc 2.53
Br 0.7583 0.2417 0.7583  1 Tc 2.53
Br 0.7583 0.7583 0.2417  1 Tc 2.53

Calculated values
E = -30.78 eV for the cell shown
Crystal system = cubic

=====

# 5
First-principles (PBE) data for ThTe2Br2 after structural relaxation, as listed in OQMD via LeMat-Bulk.

Unit cell a=7.9777 b=7.9777 c=7.9122 alpha=96.99 beta=96.99 gamma=124.31
Last column: nearest neighbours and their distance in Å.
Positions (direct):
Th 0.1486 0.8514 0.0000  4 Br 2.96-3.01, 4 Te 3.21-3.25
Th 0.8514 0.1486 0.0000  4 Br 2.96-3.01, 4 Te 3.21-3.25
Te 0.0950 0.0950 0.3242  1 Te 2.78
Te 0.3361 0.3361 0.1088  1 Te 2.78
Te 0.6639 0.6639 0.8912  1 Te 2.78
Te 0.9050 0.9050 0.6758  1 Te 2.78
Br 0.0248 0.4581 0.7733  2 Th 2.96-3.01
Br 0.4581 0.0248 0.7733  2 Th 2.96-3.01
Br 0.5419 0.9752 0.2267  2 Th 2.96-3.01
Br 0.9752 0.5419 0.2267  2 Th 2.96-3.01

Calculated values
E = -46.64 eV for the cell shown
Crystal system = monoclinic

=====

# 6
First-principles (PBE) data for UTe4Br5 after structural relaxation, as listed in OQMD via LeMat-Bulk.

Unit cell a=9.1067 b=12.4453 c=14.0152 alpha=80.79 beta=76.91 gamma=78.94
Last column: nearest neighbours and their distance in Å.
Positions (direct):
U 0.0843 0.2815 0.2623  7 Br 2.70-3.00
U 0.3692 0.8040 0.8050  7 Br 2.71-2.98
U 0.6308 0.1960 0.1950  7 Br 2.71-2.98
U 0.9157 0.7185 0.7377  7 Br 2.70-3.00
Te 0.9999 0.1538 0.6827  2 Te 2.65-2.94
Te 0.0001 0.8462 0.3173  2 Te 2.65-2.94
Te 0.0037 0.7927 0.1415  2 Te 2.65-2.95
Te 0.2239 0.3571 0.7963  3 Te 2.79-2.95
Te 0.2378 0.6729 0.3824  3 Te 2.81-2.94
Te 0.3288 0.3264 0.5931  2 Te 2.70-2.85
Te 0.3808 0.6076 0.1958  2 Te 2.72-2.82
Te 0.4239 0.8275 0.3868  2 Te 2.70-2.81
Te 0.4596 0.2228 0.8766  2 Te 2.72-2.79
Te 0.5404 0.7772 0.1234  2 Te 2.72-2.79
Te 0.5761 0.1725 0.6132  2 Te 2.70-2.81
Te 0.6192 0.3924 0.8042  2 Te 2.72-2.82
Te 0.6712 0.6736 0.4069  2 Te 2.70-2.85
Te 0.7622 0.3271 0.6176  3 Te 2.81-2.94
Te 0.7761 0.6429 0.2037  3 Te 2.79-2.95
Te 0.9963 0.2073 0.8585  2 Te 2.65-2.95
Br 0.0022 0.4829 0.3574  1 U 2.92
Br 0.0315 0.8535 0.8484  2 U 2.93-2.96
Br 0.0512 0.1358 0.4308  1 U 2.73
Br 0.1272 0.4177 0.0913  1 U 2.70
Br 0.2533 0.6742 0.6875  2 U 2.96
Br 0.2921 0.9264 0.9682  1 U 2.83
Br 0.3448 0.1220 0.1820  2 U 2.92-2.98
Br 0.3520 0.9761 0.6534  1 U 2.77
Br 0.3646 0.3213 0.3203  2 U 2.98-3.00
Br 0.3774 0.6194 0.9366  1 U 2.71
Br 0.6226 0.3806 0.0634  1 U 2.71
Br 0.6354 0.6787 0.6797  2 U 2.98-3.00
Br 0.6480 0.0239 0.3466  1 U 2.77
Br 0.6552 0.8780 0.8180  2 U 2.92-2.98
Br 0.7079 0.0736 0.0318  1 U 2.83
Br 0.7467 0.3258 0.3125  2 U 2.96
Br 0.8728 0.5823 0.9087  1 U 2.70
Br 0.9488 0.8642 0.5692  1 U 2.73
Br 0.9685 0.1465 0.1516  2 U 2.93-2.96
Br 0.9978 0.5171 0.6426  1 U 2.92

Calculated values
E = -156.28 eV for the cell shown
Crystal system = triclinic

=====

Copy entry 5 word for word.
First-principles (PBE) data for ThTe2Br2 after structural relaxation, as listed in OQMD via LeMat-Bulk.

Unit cell a=7.9777 b=7.9777 c=7.9122 alpha=96.99 beta=96.99 gamma=124.31
Last column: nearest neighbours and their distance in Å.
Positions (direct):
Th 0.1486 0.8514 0.0000  4 Br 2.96-3.01, 4 Te 3.21-3.25
Th 0.8514 0.1486 0.0000  4 Br 2.96-3.01, 4 Te 3.21-3.25
Te 0.0950 0.0950 0.3242  1 Te 2.78
Te 0.3361 0.3361 0.1088  1 Te 2.78
Te 0.6639 0.6639 0.8912  1 Te 2.78
Te 0.9050 0.9050 0.6758  1 Te 2.78
Br 0.0248 0.4581 0.7733  2 Th 2.96-3.01
Br 0.4581 0.0248 0.7733  2 Th 2.96-3.01
Br 0.5419 0.9752 0.2267  2 Th 2.96-3.01
Br 0.9752 0.5419 0.2267  2 Th 2.96-3.01

Calculated values
E = -46.64 eV for the cell shown
Crystal system = monoclinic